ZrTe2: optimized geometry, PBE.

The structure in POSCAR format:
```
ZrTe2
1.0
3.9750 0.0000 0.0000
-1.9875 3.4425 0.0000
0.0000 0.0000 6.8905
Te Zr
2 1
direct
0.3333 0.6667 0.7382 Te
0.6667 0.3333 0.2618 Te
0.0000 0.0000 0.0000 Zr
```

Space group   P-3m1 (164)
DFT total energy   -5.824 eV per atom
Volume   31.4 Å³/atom
Formation energy (no corrections)   -880 meV per atom


Tl3ZnPd: optimized geometry, PBE.

The structure in POSCAR format:
```
Tl3ZnPd
1.0
-1.6243 -3.1507 4.0035
-2.8922 -2.8889 -3.4471
4.1940 -3.2125 -0.8266
Tl Zn Pd
3 1 1
direct
0.0000 0.5000 0.0000 Tl
0.0000 0.0000 0.5000 Tl
0.5000 0.0000 0.0000 Tl
0.5000 0.5000 0.5000 Zn
0.0000 0.0000 0.0000 Pd
```

Space group   Pm-3m (221)
DFT total energy   -2.575 eV per atom
E above lowest polymorph   0.0000 eV per atom
E_form   0.690 eV/f.u.
Volume   30.6 Å³/atom


Pm8HOs3Br3: optimized geometry, PBE.

The structure in POSCAR format:
```
Pm8HOs3Br3
1.0
-0.6075 -2.4869 -7.6999
3.2941 -4.8856 5.5851
-8.9236 1.1355 0.3422
Pm H Os Br
8 1 3 3
direct
0.2654 0.5312 0.2968 Pm
0.7346 0.4688 0.7032 Pm
0.7661 0.5324 0.3047 Pm
0.2339 0.4676 0.6953 Pm
0.7665 0.0381 0.3052 Pm
0.2335 0.9619 0.6948 Pm
0.2714 0.0381 0.3047 Pm
0.7286 0.9619 0.6953 Pm
0.0000 0.0000 0.5000 H
0.5000 0.0000 0.5000 Os
0.5000 0.5000 0.5000 Os
0.0000 0.5000 0.5000 Os
0.0000 0.0000 0.0000 Br
0.0000 0.5000 0.0000 Br
0.5000 0.5000 0.0000 Br
```

Space group   C2/m (12)
DFT total energy   -5.870 eV per atom
Volume   29.2 Å³/atom